VASP calculation (GGA+U) on NaAg2MoF8 after structural relaxation.

Calculated values
* total magnetic moment: 1.00 μB/cell
* total DFT energy (no corrections): -4.4134 eV/atom
* V: 198 Å³/f.u.
* DOS at the Fermi energy: 2.7 states/eV/cell

Lattice parameters (Å, degrees): 5.0341 5.5413 7.1249 90.04 90.04 96.25
Each line ends with the local moment (μB).
Fractional positions:
F  0.8078  0.1509  0.2023  -0.01
F  0.1922  0.8491  0.7977  -0.01
F  0.3003  0.3175  0.4999  0.12
F  0.6997  0.6825  0.5001  0.12
F  0.2825  0.3018  0.0000  0.03
F  0.1924  0.8493  0.2023  -0.01
Ag  0.5000  0.5000  0.7451  0.29
Na  0.0000  0.0000  0.5000  0.00
F  0.8076  0.1507  0.7977  -0.01
Mo  0.0000  0.0000  0.0000  -1.84
Ag  0.5000  0.5000  0.2549  0.29
F  0.7175  0.6982  0.0000  0.03